Entry from Alexandria: a geometry-optimized HAuSe3 structure (PBE).

Crystal system: cubic
Energy above the most stable polymorph in this dataset: 239 meV/atom
SG: Pm-3m (221)
Total moment: 3.6 μB/cell

a = 5.192 Å, b = 5.192 Å, c = 5.192 Å
α = 90.00°, β = 90.00°, γ = 90.00°
Each line ends with the local moment (μB).
Positions (direct):
Se1 0.000 0.500 0.000  0.59
Se2 0.500 0.000 0.000  0.66
H1 0.500 0.500 0.500  0.37
Se3 0.000 0.000 0.500  0.41
Au1 0.000 0.000 0.000  0.06